Entry 1:
Here is Zn2MoRh after structural relaxation from the Alexandria database. Energies are from PBE-GGA.

Lattice parameters (Å, degrees): 4.341 4.341 4.341 60.00 60.00 60.00
Last column: magnetic moment on the atom in μB.
Fractional positions:
Zn (0.250, 0.250, 0.250)  0.01
Rh (0.500, 0.500, 0.500)  0.20
Zn (0.750, 0.750, 0.750)  0.01
Mo (0.000, 0.000, 0.000)  1.22

## Properties
Its density of states at the Fermi level is 1.0520 states/eV per atom. The formation energy comes out at 0.0859 eV per atom. The size of the total moment is 0.3768 μB per atom.

***

Entry 2:
Here is MoPb2Br after structural relaxation from the Alexandria database. Energies are from PBE-GGA.

Lattice parameters (Å, degrees): 3.505 3.515 8.405 90.25 90.00 90.00
Last column: magnetic moment on the atom in μB.
Fractional positions:
Pb (0.000, 0.252, 0.946)  -0.01
Mo (0.500, 0.750, 0.750)  0.39
Pb (0.000, 0.248, 0.554)  -0.01
Br (0.500, 0.250, 0.250)  -0.01

## Properties
Its density of states at the Fermi level is 0.9763 states/eV per atom. The size of the total moment is 0.1061 μB per atom. The total energy is -0.1684 Ha/atom.

***

Entry 3:
Here is CeHg2Pb after structural relaxation from the Alexandria database. Energies are from PBE-GGA.

Lattice parameters (Å, degrees): 4.944 4.668 4.668 90.00 90.00 90.00
Last column: magnetic moment on the atom in μB.
Fractional positions:
Hg (0.000, 0.500, 0.000)  0.01
Ce (0.500, 0.000, 0.000)  0.84
Hg (0.000, 0.000, 0.500)  0.01
Pb (0.500, 0.500, 0.500)  0.01

## Properties
Its density of states at the Fermi level is 1.8081 states/eV per atom. The formation energy comes out at -0.3232 eV per atom. The size of the total moment is 0.2513 μB per atom.

***

Entry 4:
Here is K2CuRh after structural relaxation from the Alexandria database. Energies are from PBE-GGA.

Lattice parameters (Å, degrees): 3.085 3.085 10.103 90.00 90.00 90.04
Last column: magnetic moment on the atom in μB.
Fractional positions:
Rh (0.500, 0.500, 0.250)  0.71
Cu (0.500, 0.500, 0.750)  0.00
K (0.000, 0.000, 0.007)  -0.01
K (0.000, 0.000, 0.493)  -0.01

## Properties
Its density of states at the Fermi level is 0.7153 states/eV per atom. The formation energy comes out at 0.7425 eV per atom. The size of the total moment is 0.1777 μB per atom.

***

Repeat the second record exactly.
Here is MoPb2Br after structural relaxation from the Alexandria database. Energies are from PBE-GGA.

Lattice parameters (Å, degrees): 3.505 3.515 8.405 90.25 90.00 90.00
Last column: magnetic moment on the atom in μB.
Fractional positions:
Pb (0.000, 0.252, 0.946)  -0.01
Mo (0.500, 0.750, 0.750)  0.39
Pb (0.000, 0.248, 0.554)  -0.01
Br (0.500, 0.250, 0.250)  -0.01

## Properties
Its density of states at the Fermi level is 0.9763 states/eV per atom. The size of the total moment is 0.1061 μB per atom. The total energy is -0.1684 Ha/atom.

***

> Which value of size of the total moment does entry 1 give?

0.3768 μB per atom

***

> Which of these has the lowest size of the total moment?

MoPb2Br